A relaxed structure of ZrNi3O, computed with PBE with a Hubbard U.

a = 4.513 Å, b = 4.513 Å, c = 4.513 Å
α = 90.00°, β = 90.00°, γ = 90.00°
Element x y z (fractional)
Ni  0.000  0.000  0.500
Ni  0.500  0.000  0.000
Ni  0.000  0.500  0.000
O  0.500  0.500  0.500
Zr  0.000  0.000  0.000

Summary:
- Theoretical density: 5.1 g/cm3
- Offset from the most stable computed form: 2071 meV per atom
- Uncorrected energy: -9.45 eV for the cell shown
- V: 18.4 Å³/atom
- Spin magnetization: 0.00 μB per formula unit
- Space group: Pm-3m (221)